# 1
{"formula": "Y2BPd2Pt4", "functional": "GGA-PBE", "state": "relaxed", "e_tot_ev_per_atom": -6.983, "n_ef_per_ev_cell": 4.1, "formation_enthalpy_0k_ev_per_atom": -0.966, "crystal_system": "tetragonal", "cell": [[6.004, -0.141, -0.204], [-3.006, 5.199, 0.204], [-3.006, -1.636, 4.939]], "species": ["Pt", "Pt", "Pt", "Pt", "Pd", "Pd", "B", "Y", "Y"], "fractional_positions": [[0.488, 0.744, 0.744], [0.512, 0.256, 0.256], [0.000, 0.256, 0.744], [0.000, 0.744, 0.256], [0.000, 0.742, 0.742], [0.000, 0.258, 0.258], [0.000, 0.000, 0.000], [0.500, 0.250, 0.750], [0.500, 0.750, 0.250]]}

***

# 2
{"formula": "Y2BPd4Pt2", "functional": "GGA-PBE", "state": "relaxed", "e_tot_ev_per_atom": -6.738, "n_ef_per_ev_cell": 4.9, "formation_enthalpy_0k_ev_per_atom": -0.909, "crystal_system": "tetragonal", "cell": [[5.963, -0.072, -0.104], [-2.926, 5.196, 0.104], [-2.926, -1.728, 4.902]], "species": ["Y", "Y", "Pd", "Pd", "Pd", "Pd", "B", "Pt", "Pt"], "fractional_positions": [[0.500, 0.750, 0.250], [0.500, 0.250, 0.750], [0.481, 0.741, 0.741], [0.000, 0.259, 0.741], [0.519, 0.259, 0.259], [0.000, 0.741, 0.259], [0.000, 0.000, 0.000], [0.000, 0.750, 0.750], [0.000, 0.250, 0.250]]}

***

# 3
{"formula": "YBPdPt2", "functional": "GGA-PBE", "state": "relaxed", "e_tot_ev_per_atom": -6.825, "n_ef_per_ev_cell": 3.8, "formation_enthalpy_0k_ev_per_atom": -0.742, "crystal_system": "tetragonal", "cell": [[-4.216, 0.237, 0.922], [0.442, -3.220, 2.849], [0.850, 2.897, 3.142]], "species": ["Pt", "Pt", "Pd", "Y", "B"], "fractional_positions": [[0.500, 0.000, 0.000], [0.000, 0.500, 0.000], [0.000, 0.000, 0.500], [0.500, 0.500, 0.500], [0.000, 0.000, 0.000]]}

***

# 4
{"formula": "Y2BPdPt", "functional": "GGA-PBE", "state": "relaxed", "e_tot_ev_per_atom": -6.728, "n_ef_per_ev_cell": 3.3, "formation_enthalpy_0k_ev_per_atom": -0.560, "crystal_system": "tetragonal", "cell": [[-1.119, 4.646, -1.662], [-1.917, -1.562, -3.076], [-4.279, -0.065, 2.699]], "species": ["Pd", "B", "Y", "Y", "Pt"], "fractional_positions": [[0.000, 0.500, 0.000], [0.000, 0.000, 0.000], [0.000, 0.000, 0.500], [0.500, 0.000, 0.000], [0.500, 0.500, 0.500]]}

***

# 5
{"formula": "YBPd2Pt", "functional": "GGA-PBE", "state": "relaxed", "e_tot_ev_per_atom": -6.617, "n_ef_per_ev_cell": 2.5, "formation_enthalpy_0k_ev_per_atom": -0.704, "crystal_system": "tetragonal", "cell": [[-1.399, -3.950, 1.185], [0.309, -1.349, -4.129], [4.031, -1.218, 0.700]], "species": ["B", "Pt", "Pd", "Pd", "Y"], "fractional_positions": [[0.000, 0.000, 0.000], [0.000, 0.000, 0.500], [0.000, 0.500, 0.000], [0.500, 0.000, 0.000], [0.500, 0.500, 0.500]]}

***

# 6
{"formula": "ZnB2Pd5Pt2", "functional": "GGA-PBE", "state": "relaxed", "e_tot_ev_per_atom": -5.499, "n_ef_per_ev_cell": 10.9, "formation_enthalpy_0k_ev_per_atom": -0.232, "crystal_system": "tetragonal", "cell": [[2.814, 0.000, 0.000], [0.000, 9.846, 0.000], [0.000, 0.000, 9.846]], "species": ["B", "B", "B", "B", "Pt", "Pt", "Pt", "Pt", "Pd", "Pd", "Pd", "Pd", "Pd", "Pd", "Pd", "Pd", "Pd", "Pd", "Zn", "Zn"], "fractional_positions": [[0.000, 0.866, 0.366], [0.000, 0.366, 0.134], [0.000, 0.134, 0.634], [0.000, 0.634, 0.866], [0.000, 0.718, 0.218], [0.000, 0.782, 0.718], [0.000, 0.282, 0.782], [0.000, 0.218, 0.282], [0.500, 0.224, 0.025], [0.500, 0.724, 0.475], [0.500, 0.500, 0.000], [0.500, 0.776, 0.975], [0.500, 0.975, 0.224], [0.500, 0.025, 0.776], [0.500, 0.475, 0.276], [0.500, 0.276, 0.525], [0.500, 0.525, 0.724], [0.500, 0.000, 0.500], [0.000, 0.500, 0.500], [0.000, 0.000, 0.000]]}

***

# 7
{"formula": "Zn2BPdPt", "functional": "GGA-PBE", "state": "relaxed", "e_tot_ev_per_atom": -2.861, "n_ef_per_ev_cell": 2.5, "formation_enthalpy_0k_ev_per_atom": 1.231, "crystal_system": "tetragonal", "cell": [[4.727, 0.000, 0.000], [0.000, 5.089, 0.000], [0.000, 0.000, 4.727]], "species": ["Pt", "Pd", "Zn", "Zn", "B"], "fractional_positions": [[0.000, 0.000, 0.000], [0.000, 0.500, 0.000], [0.500, 0.000, 0.000], [0.000, 0.000, 0.500], [0.500, 0.500, 0.500]]}

***

# 8
{"formula": "ZnBPdPt2", "functional": "GGA-PBE", "state": "relaxed", "e_tot_ev_per_atom": -5.298, "n_ef_per_ev_cell": 2.4, "formation_enthalpy_0k_ev_per_atom": -0.253, "crystal_system": "tetragonal", "cell": [[4.148, 0.000, 0.000], [0.000, 4.148, 0.000], [0.000, 0.000, 4.235]], "species": ["Zn", "Pt", "Pt", "B", "Pd"], "fractional_positions": [[0.500, 0.500, 0.500], [0.500, 0.000, 0.000], [0.000, 0.500, 0.000], [0.000, 0.000, 0.000], [0.000, 0.000, 0.500]]}